Material: Pm3TmSc3Te8
Method: DFT, PBE-GGA
State: optimized geometry

Summary:
Uncorrected formation energy   -19.667 eV/f.u.
Space-group type   R-3m, No. 166
Volume   30.02 Å³/atom
Density of states at the Fermi level   7.9 states/eV per cell
E   -82.5 eV/f.u.
Theoretical density   6.5 g/cm³
Magnetic moment   0.000 μB/atom

Lattice parameters (Å, degrees): 8.5639 8.5650 8.6430 119.70 90.00 120.00
Last column: nearest neighbours and their distance in Å.
Element x y z (fractional)
1 Pm 0.0000 0.0000 0.0000  6 Te 3.14
2 Pm 0.0000 0.5000 0.0000  6 Te 3.14
3 Pm 0.5000 0.5000 0.0000  6 Te 3.14
4 Tm 0.0000 0.0000 0.5000  6 Te 3.09
5 Sc 0.5000 0.0000 0.5000  6 Te 2.95
6 Sc 0.5000 0.5000 0.5000  6 Te 2.95
7 Sc 0.0000 0.5000 0.5000  6 Te 2.95
8 Te 0.2577 0.5153 0.2732  3 Sc 2.95, 3 Pm 3.14
9 Te 0.7423 0.4847 0.7268  3 Sc 2.95, 3 Pm 3.14
10 Te 0.7463 0.4925 0.2616  2 Sc 2.95, 1 Tm 3.09, 2 Pm 3.14
11 Te 0.2537 0.5075 0.7384  2 Sc 2.95, 1 Tm 3.09, 2 Pm 3.14
12 Te 0.7462 0.0154 0.2613  2 Sc 2.95, 1 Tm 3.09, 2 Pm 3.14
13 Te 0.2538 0.9846 0.7387  2 Sc 2.95, 1 Tm 3.09, 2 Pm 3.14
14 Te 0.2691 0.0154 0.2613  2 Sc 2.95, 1 Tm 3.09, 2 Pm 3.14
15 Te 0.7309 0.9846 0.7387  2 Sc 2.95, 1 Tm 3.09, 2 Pm 3.14

Material: BaZrP2
Method: DFT, PBE-GGA
State: optimized geometry

Summary:
Space-group type   Imm2, No. 44
Volume   25.23 Å³/atom
Density of states at the Fermi level   0.5 states/eV per cell
E   -24.9 eV/f.u.
Theoretical density   4.8 g/cm³
Distance to the lowest polymorph of the same formula   0.222 eV per atom
Formation energy from the elements   -0.894 eV per atom
Magnetic moment   0.000 μB/atom

Lattice parameters (Å, degrees): 7.9049 7.9049 7.9049 154.04 152.13 38.45
Last column: nearest neighbours and their distance in Å.
Element x y z (fractional)
1 Ba 0.2947 0.7947 0.5000  6 P 3.15-3.38
2 P 0.9820 0.9820 0.0000  4 Zr 2.78
3 P 0.6757 0.1757 0.5000  2 Zr 2.61
4 Zr 0.5476 0.5476 0.0000  6 P 2.61-2.78